# 1
# LiInNiHg PBE-GGA relaxed
# Total moment, μB/f.u.: 0.01
# Energy relative to the lowest polymorph listed for this composition, meV per atom: 0
data_LiInNiHg
_cell_length_a 6.389
_cell_length_b 6.389
_cell_length_c 6.389
_cell_angle_alpha 90.00
_cell_angle_beta 90.00
_cell_angle_gamma 90.00
_space_group_name_H-M_alt 'F -4 3 m'
_space_group_IT_number 216
_space_group_name_Hall 'F -4 2 3'
loop_
_atom_site_label
_atom_site_type_symbol
_atom_site_fract_x
_atom_site_fract_y
_atom_site_fract_z
_atom_site_occupancy
Li1 Li 0.000 0.000 0.000 1
In1 In 0.250 0.250 0.250 1
Ni1 Ni 0.000 0.000 0.500 1
Hg1 Hg 0.250 0.250 0.750 1

# 2
# Li4In2HgPd PBE-GGA relaxed
# Total energy, eV per atom: -2.734
data_Li4In2HgPd
_cell_length_a 4.576
_cell_length_b 4.576
_cell_length_c 6.659
_cell_angle_alpha 90.00
_cell_angle_beta 90.00
_cell_angle_gamma 90.00
_space_group_name_H-M_alt 'P -4 m 2'
_space_group_IT_number 115
loop_
_space_group_symop_operation_xyz
'x,y,z'
'y,-x,-z'
'-x,-y,z'
'-y,x,-z'
'-x,y,z'
'-y,-x,-z'
'x,-y,z'
'y,x,-z'
loop_
_atom_site_label
_atom_site_type_symbol
_atom_site_fract_x
_atom_site_fract_y
_atom_site_fract_z
_atom_site_occupancy
Li1 Li 0.000 0.000 0.000 1
Li2 Li 0.000 0.500 0.239 1
Li3 Li 0.500 0.500 0.500 1
In1 In 0.000 0.500 0.774 1
Hg1 Hg 0.000 0.000 0.500 1
Pd1 Pd 0.500 0.500 0.000 1

# 3
# Li4InHgPt2 PBE-GGA relaxed
# Total energy, eV per atom: -3.351
# Total moment, μB/f.u.: 0.00
data_Li4InHgPt2
_cell_length_a 4.499
_cell_length_b 4.499
_cell_length_c 6.374
_cell_angle_alpha 90.00
_cell_angle_beta 90.00
_cell_angle_gamma 90.00
_space_group_name_H-M_alt 'P -4 m 2'
_space_group_IT_number 115
loop_
_space_group_symop_operation_xyz
'x,y,z'
'y,-x,-z'
'-x,-y,z'
'-y,x,-z'
'-x,y,z'
'-y,-x,-z'
'x,-y,z'
'y,x,-z'
loop_
_atom_site_label
_atom_site_type_symbol
_atom_site_fract_x
_atom_site_fract_y
_atom_site_fract_z
_atom_site_occupancy
Li1 Li 0.000 0.000 0.000 1
Li2 Li 0.000 0.500 0.744 1
Li3 Li 0.500 0.500 0.500 1
In1 In 0.500 0.500 0.000 1
Hg1 Hg 0.000 0.000 0.500 1
Pt1 Pt 0.000 0.500 0.237 1

# 4
# Li4InSnHg2 PBE-GGA relaxed
# Total energy, eV per atom: -2.205
data_Li4InSnHg2
_cell_length_a 4.752
_cell_length_b 4.752
_cell_length_c 6.755
_cell_angle_alpha 90.00
_cell_angle_beta 90.00
_cell_angle_gamma 90.00
_space_group_name_H-M_alt 'P -4 m 2'
_space_group_IT_number 115
loop_
_space_group_symop_operation_xyz
'x,y,z'
'y,-x,-z'
'-x,-y,z'
'-y,x,-z'
'-x,y,z'
'-y,-x,-z'
'x,-y,z'
'y,x,-z'
loop_
_atom_site_label
_atom_site_type_symbol
_atom_site_fract_x
_atom_site_fract_y
_atom_site_fract_z
_atom_site_occupancy
Li1 Li 0.000 0.000 0.000 1
Li2 Li 0.000 0.500 0.749 1
Li3 Li 0.500 0.500 0.500 1
In1 In 0.000 0.000 0.500 1
Sn1 Sn 0.500 0.500 0.000 1
Hg1 Hg 0.000 0.500 0.256 1

# 5
# Li4ZnIn2Hg PBE-GGA relaxed
# Total energy, eV per atom: -2.131
data_Li4ZnIn2Hg
_cell_length_a 4.635
_cell_length_b 4.635
_cell_length_c 6.551
_cell_angle_alpha 90.00
_cell_angle_beta 90.00
_cell_angle_gamma 90.00
_space_group_name_H-M_alt 'P -4 m 2'
_space_group_IT_number 115
loop_
_space_group_symop_operation_xyz
'x,y,z'
'y,-x,-z'
'-x,-y,z'
'-y,x,-z'
'-x,y,z'
'-y,-x,-z'
'x,-y,z'
'y,x,-z'
loop_
_atom_site_label
_atom_site_type_symbol
_atom_site_fract_x
_atom_site_fract_y
_atom_site_fract_z
_atom_site_occupancy
Li1 Li 0.000 0.000 0.000 1
Li2 Li 0.000 0.500 0.246 1
Li3 Li 0.500 0.500 0.500 1
Zn1 Zn 0.500 0.500 0.000 1
In1 In 0.000 0.500 0.767 1
Hg1 Hg 0.000 0.000 0.500 1

# 6
# Li4Zn2InHg PBE-GGA relaxed
# Total energy, eV per atom: -1.929
data_Li4Zn2InHg
_cell_length_a 4.528
_cell_length_b 4.528
_cell_length_c 6.408
_cell_angle_alpha 90.00
_cell_angle_beta 90.00
_cell_angle_gamma 90.00
_space_group_name_H-M_alt 'P -4 m 2'
_space_group_IT_number 115
loop_
_space_group_symop_operation_xyz
'x,y,z'
'y,-x,-z'
'-x,-y,z'
'-y,x,-z'
'-x,y,z'
'-y,-x,-z'
'x,-y,z'
'y,x,-z'
loop_
_atom_site_label
_atom_site_type_symbol
_atom_site_fract_x
_atom_site_fract_y
_atom_site_fract_z
_atom_site_occupancy
Li1 Li 0.000 0.000 0.000 1
Li2 Li 0.000 0.500 0.241 1
Li3 Li 0.500 0.500 0.500 1
Zn1 Zn 0.000 0.500 0.752 1
In1 In 0.000 0.000 0.500 1
Hg1 Hg 0.500 0.500 0.000 1

# 7
# LuInHg PBE-GGA relaxed
# Total energy, eV per atom: -2.863
# Total moment, μB/f.u.: 0.00
data_LuInHg
_cell_length_a 6.794
_cell_length_b 6.794
_cell_length_c 6.794
_cell_angle_alpha 90.00
_cell_angle_beta 90.00
_cell_angle_gamma 90.00
_space_group_name_H-M_alt 'F -4 3 m'
_space_group_IT_number 216
_space_group_name_Hall 'F -4 2 3'
loop_
_atom_site_label
_atom_site_type_symbol
_atom_site_fract_x
_atom_site_fract_y
_atom_site_fract_z
_atom_site_occupancy
Lu1 Lu 0.000 0.000 0.000 1
In1 In 0.000 0.000 0.500 1
Hg1 Hg 0.250 0.250 0.750 1

# 8
# LuInNiHg PBE-GGA relaxed
# Total moment, μB/f.u.: 0.00
# Energy relative to the lowest polymorph listed for this composition, meV per atom: 0
data_LuInNiHg
_cell_length_a 6.820
_cell_length_b 6.820
_cell_length_c 6.820
_cell_angle_alpha 90.00
_cell_angle_beta 90.00
_cell_angle_gamma 90.00
_space_group_name_H-M_alt 'F -4 3 m'
_space_group_IT_number 216
_space_group_name_Hall 'F -4 2 3'
loop_
_atom_site_label
_atom_site_type_symbol
_atom_site_fract_x
_atom_site_fract_y
_atom_site_fract_z
_atom_site_occupancy
Lu1 Lu 0.000 0.000 0.000 1
In1 In 0.000 0.000 0.500 1
Ni1 Ni 0.250 0.250 0.750 1
Hg1 Hg 0.250 0.250 0.250 1

# 9
# LuInNiHg PBE-GGA relaxed
# Total moment, μB/f.u.: 0.01
# Energy relative to the lowest polymorph listed for this composition, meV per atom: 85
data_LuInNiHg
_cell_length_a 6.804
_cell_length_b 6.804
_cell_length_c 6.804
_cell_angle_alpha 90.00
_cell_angle_beta 90.00
_cell_angle_gamma 90.00
_space_group_name_H-M_alt 'F -4 3 m'
_space_group_IT_number 216
_space_group_name_Hall 'F -4 2 3'
loop_
_atom_site_label
_atom_site_type_symbol
_atom_site_fract_x
_atom_site_fract_y
_atom_site_fract_z
_atom_site_occupancy
Lu1 Lu 0.000 0.000 0.000 1
In1 In 0.250 0.250 0.250 1
Ni1 Ni 0.000 0.000 0.500 1
Hg1 Hg 0.250 0.250 0.750 1

# 10
# LuInHgS3 PBE-GGA relaxed
# Total energy, eV per atom: -4.300
# Total moment, μB/f.u.: 0.01
data_LuInHgS3
_cell_length_a 3.904
_cell_length_b 15.167
_cell_length_c 10.356
_cell_angle_alpha 90.00
_cell_angle_beta 90.00
_cell_angle_gamma 90.00
_space_group_name_H-M_alt 'C m c m'
_space_group_IT_number 63
_space_group_name_Hall '-C 2c 2'
loop_
_atom_site_label
_atom_site_type_symbol
_atom_site_fract_x
_atom_site_fract_y
_atom_site_fract_z
_atom_site_occupancy
Lu1 Lu 0.000 0.000 0.000 1
In1 In 0.000 0.333 0.250 1
Hg1 Hg 0.000 0.320 0.750 1
S1 S 0.000 0.049 0.750 1
S2 S 0.000 0.380 0.526 1

# 11
# LuInHgSe3 PBE-GGA relaxed
# Total energy, eV per atom: -3.849
# Total moment, μB/f.u.: 0.00
data_LuInHgSe3
_cell_length_a 4.133
_cell_length_b 14.410
_cell_length_c 10.853
_cell_angle_alpha 90.00
_cell_angle_beta 90.00
_cell_angle_gamma 90.00
_space_group_name_H-M_alt 'C m c m'
_space_group_IT_number 63
_space_group_name_Hall '-C 2c 2'
loop_
_atom_site_label
_atom_site_type_symbol
_atom_site_fract_x
_atom_site_fract_y
_atom_site_fract_z
_atom_site_occupancy
Lu1 Lu 0.000 0.000 0.000 1
In1 In 0.000 0.253 0.250 1
Hg1 Hg 0.000 0.452 0.750 1
Se1 Se 0.000 0.078 0.750 1
Se2 Se 0.000 0.366 0.538 1

# 12
# LuInHgTe3 PBE-GGA relaxed
# Total moment, μB/f.u.: 0.00
# Energy relative to the lowest polymorph listed for this composition, meV per atom: 65
data_LuInHgTe3
_cell_length_a 19.131
_cell_length_b 4.300
_cell_length_c 9.535
_cell_angle_alpha 90.00
_cell_angle_beta 102.72
_cell_angle_gamma 90.00
_space_group_name_H-M_alt 'C 1 2/m 1'
_space_group_IT_number 12
loop_
_space_group_symop_operation_xyz
'x,y,z'
'-x,-y,-z'
'-x,y,-z'
'x,-y,z'
'x+1/2,y+1/2,z'
'-x+1/2,-y+1/2,-z'
'-x+1/2,y+1/2,-z'
'x+1/2,-y+1/2,z'
loop_
_atom_site_label
_atom_site_type_symbol
_atom_site_fract_x
_atom_site_fract_y
_atom_site_fract_z
_atom_site_occupancy
Lu1 Lu 0.174 0.000 0.089 1
In1 In 0.132 0.000 0.577 1
Hg1 Hg 0.037 0.500 0.221 1
Te1 Te 0.000 0.000 0.000 1
Te2 Te 0.000 0.500 0.500 1
Te3 Te 0.166 0.500 0.864 1
Te4 Te 0.192 0.500 0.321 1

# 13
# LuInHgTe3 PBE-GGA relaxed
# Total moment, μB/f.u.: 0.01
# Energy relative to the lowest polymorph listed for this composition, meV per atom: 44
data_LuInHgTe3
_cell_length_a 8.562
_cell_length_b 4.394
_cell_length_c 11.019
_cell_angle_alpha 90.00
_cell_angle_beta 107.47
_cell_angle_gamma 90.00
_space_group_name_H-M_alt 'P 1 21/m 1'
_space_group_IT_number 11
loop_
_space_group_symop_operation_xyz
'x,y,z'
'-x,-y,-z'
'-x,y+1/2,-z'
'x,-y+1/2,z'
loop_
_atom_site_label
_atom_site_type_symbol
_atom_site_fract_x
_atom_site_fract_y
_atom_site_fract_z
_atom_site_occupancy
Lu1 Lu 0.191 0.250 0.145 1
In1 In 0.232 0.750 0.714 1
Hg1 Hg 0.418 0.750 0.384 1
Te1 Te 0.059 0.250 0.861 1
Te2 Te 0.231 0.250 0.443 1
Te3 Te 0.437 0.750 0.135 1

# 14
# LuInHgTe3 PBE-GGA relaxed
# Total moment, μB/f.u.: 0.00
# Energy relative to the lowest polymorph listed for this composition, meV per atom: 129
data_LuInHgTe3
_cell_length_a 8.817
_cell_length_b 4.637
_cell_length_c 18.329
_cell_angle_alpha 90.00
_cell_angle_beta 90.00
_cell_angle_gamma 90.00
_space_group_name_H-M_alt 'P n m a'
_space_group_IT_number 62
loop_
_space_group_symop_operation_xyz
'x,y,z'
'-x,-y,-z'
'-x+1/2,-y,z+1/2'
'x+1/2,y,-z+1/2'
'x+1/2,-y+1/2,-z+1/2'
'-x+1/2,y+1/2,z+1/2'
'-x,y+1/2,-z'
'x,-y+1/2,z'
loop_
_atom_site_label
_atom_site_type_symbol
_atom_site_fract_x
_atom_site_fract_y
_atom_site_fract_z
_atom_site_occupancy
Lu1 Lu 0.231 0.250 0.038 1
In1 In 0.055 0.250 0.799 1
Hg1 Hg 0.084 0.250 0.340 1
Te1 Te 0.006 0.250 0.573 1
Te2 Te 0.122 0.750 0.943 1
Te3 Te 0.235 0.250 0.204 1

# 15
# LuInHgTe3 PBE-GGA relaxed
# Total moment, μB/f.u.: 0.00
# Energy relative to the lowest polymorph listed for this composition, meV per atom: 33
data_LuInHgTe3
_cell_length_a 4.389
_cell_length_b 15.204
_cell_length_c 11.483
_cell_angle_alpha 90.00
_cell_angle_beta 90.00
_cell_angle_gamma 90.00
_space_group_name_H-M_alt 'C m c m'
_space_group_IT_number 63
_space_group_name_Hall '-C 2c 2'
loop_
_atom_site_label
_atom_site_type_symbol
_atom_site_fract_x
_atom_site_fract_y
_atom_site_fract_z
_atom_site_occupancy
Lu1 Lu 0.000 0.000 0.000 1
In1 In 0.000 0.241 0.250 1
Hg1 Hg 0.000 0.461 0.750 1
Te1 Te 0.000 0.085 0.750 1
Te2 Te 0.000 0.362 0.543 1

# 16
# LuInHgTe3 PBE-GGA relaxed
# Total moment, μB/f.u.: 0.00
# Energy relative to the lowest polymorph listed for this composition, meV per atom: 35
data_LuInHgTe3
_cell_length_a 11.637
_cell_length_b 4.423
_cell_length_c 14.925
_cell_angle_alpha 90.00
_cell_angle_beta 90.00
_cell_angle_gamma 90.00
_space_group_name_H-M_alt 'P n m a'
_space_group_IT_number 62
loop_
_space_group_symop_operation_xyz
'x,y,z'
'-x,-y,-z'
'-x+1/2,-y,z+1/2'
'x+1/2,y,-z+1/2'
'x+1/2,-y+1/2,-z+1/2'
'-x+1/2,y+1/2,z+1/2'
'-x,y+1/2,-z'
'x,-y+1/2,z'
loop_
_atom_site_label
_atom_site_type_symbol
_atom_site_fract_x
_atom_site_fract_y
_atom_site_fract_z
_atom_site_occupancy
Lu1 Lu 0.018 0.250 0.241 1
In1 In 0.205 0.750 0.507 1
Hg1 Hg 0.246 0.250 0.714 1
Te1 Te 0.031 0.250 0.620 1
Te2 Te 0.061 0.750 0.103 1
Te3 Te 0.234 0.750 0.837 1

# 17
# LuInHgTe3 PBE-GGA relaxed
# Total moment, μB/f.u.: 0.01
# Energy relative to the lowest polymorph listed for this composition, meV per atom: 0
data_LuInHgTe3
_cell_length_a 4.338
_cell_length_b 16.126
_cell_length_c 11.753
_cell_angle_alpha 90.00
_cell_angle_beta 90.00
_cell_angle_gamma 90.00
_space_group_name_H-M_alt 'C m c m'
_space_group_IT_number 63
_space_group_name_Hall '-C 2c 2'
loop_
_atom_site_label
_atom_site_type_symbol
_atom_site_fract_x
_atom_site_fract_y
_atom_site_fract_z
_atom_site_occupancy
Lu1 Lu 0.000 0.000 0.000 1
In1 In 0.000 0.446 0.250 1
Hg1 Hg 0.000 0.254 0.750 1
Te1 Te 0.000 0.066 0.250 1
Te2 Te 0.000 0.369 0.039 1

# 18
# Mg5InHg4 PBE-GGA relaxed
# Total energy, eV per atom: -1.358
data_Mg5InHg4
_cell_length_a 3.541
_cell_length_b 3.541
_cell_length_c 17.294
_cell_angle_alpha 90.00
_cell_angle_beta 90.00
_cell_angle_gamma 90.00
_space_group_name_H-M_alt 'P 4/m m m'
_space_group_IT_number 123
_space_group_name_Hall '-P 4 2'
loop_
_atom_site_label
_atom_site_type_symbol
_atom_site_fract_x
_atom_site_fract_y
_atom_site_fract_z
_atom_site_occupancy
Mg1 Mg 0.000 0.000 0.000 1
Mg2 Mg 0.000 0.000 0.196 1
Mg3 Mg 0.000 0.000 0.391 1
In1 In 0.500 0.500 0.500 1
Hg1 Hg 0.500 0.500 0.099 1
Hg2 Hg 0.500 0.500 0.296 1

# 19
# Na4Mg2InHg PBE-GGA relaxed
# Total energy, eV per atom: -1.503
data_Na4Mg2InHg
_cell_length_a 5.160
_cell_length_b 5.160
_cell_length_c 7.277
_cell_angle_alpha 90.00
_cell_angle_beta 90.00
_cell_angle_gamma 90.00
_space_group_name_H-M_alt 'P -4 m 2'
_space_group_IT_number 115
loop_
_space_group_symop_operation_xyz
'x,y,z'
'y,-x,-z'
'-x,-y,z'
'-y,x,-z'
'-x,y,z'
'-y,-x,-z'
'x,-y,z'
'y,x,-z'
loop_
_atom_site_label
_atom_site_type_symbol
_atom_site_fract_x
_atom_site_fract_y
_atom_site_fract_z
_atom_site_occupancy
Na1 Na 0.000 0.000 0.000 1
Na2 Na 0.000 0.500 0.245 1
Na3 Na 0.500 0.500 0.500 1
Mg1 Mg 0.000 0.500 0.752 1
In1 In 0.000 0.000 0.500 1
Hg1 Hg 0.500 0.500 0.000 1

# 20
# Nd3Mg3InHg2 PBE-GGA relaxed
# Total energy, eV per atom: -2.864
# Total moment, μB/f.u.: 0.50
data_Nd3Mg3InHg2
_cell_length_a 7.6145
_cell_length_b 7.6145
_cell_length_c 4.7624
_cell_angle_alpha 90.00
_cell_angle_beta 90.00
_cell_angle_gamma 120.00
_space_group_name_H-M_alt 'P -6 2 m'
_space_group_IT_number 189
_space_group_name_Hall 'P -6 -2'
loop_
_atom_site_label
_atom_site_type_symbol
_atom_site_fract_x
_atom_site_fract_y
_atom_site_fract_z
_atom_site_occupancy
Nd1 Nd 0.0000 0.5708 0.0000 1
Mg1 Mg 0.0000 0.2430 0.5000 1
In1 In 0.0000 0.0000 0.0000 1
Hg1 Hg 0.3333 0.6667 0.5000 1

# 21
# Pr3Mg3In2Hg PBE-GGA relaxed
# Total energy, eV per atom: -3.186
# Total moment, μB/f.u.: 0.01
data_Pr3Mg3In2Hg
_cell_length_a 7.7174
_cell_length_b 7.7174
_cell_length_c 4.7639
_cell_angle_alpha 90.00
_cell_angle_beta 90.00
_cell_angle_gamma 120.00
_space_group_name_H-M_alt 'P -6 2 m'
_space_group_IT_number 189
_space_group_name_Hall 'P -6 -2'
loop_
_atom_site_label
_atom_site_type_symbol
_atom_site_fract_x
_atom_site_fract_y
_atom_site_fract_z
_atom_site_occupancy
Pr1 Pr 0.0000 0.4165 0.0000 1
Mg1 Mg 0.0000 0.7615 0.5000 1
In1 In 0.3333 0.6667 0.5000 1
Hg1 Hg 0.0000 0.0000 0.0000 1

# 22
# Pr3Mg3InHg2 PBE-GGA relaxed
# Total energy, eV per atom: -2.868
# Total moment, μB/f.u.: 0.36
data_Pr3Mg3InHg2
_cell_length_a 7.6550
_cell_length_b 7.6550
_cell_length_c 4.7851
_cell_angle_alpha 90.00
_cell_angle_beta 90.00
_cell_angle_gamma 120.00
_space_group_name_H-M_alt 'P -6 2 m'
_space_group_IT_number 189
_space_group_name_Hall 'P -6 -2'
loop_
_atom_site_label
_atom_site_type_symbol
_atom_site_fract_x
_atom_site_fract_y
_atom_site_fract_z
_atom_site_occupancy
Pr1 Pr 0.0000 0.4289 0.0000 1
Mg1 Mg 0.0000 0.7575 0.5000 1
In1 In 0.0000 0.0000 0.0000 1
Hg1 Hg 0.3333 0.6667 0.5000 1